A plane-wave DFT calculation with GGA-PBE was carried out for a relaxed Sc5Tl4Ni crystal.

E_tot = -0.184 hartree per atom
energy relative to the elements = -0.3125 eV per atom
M_tot = 0.60 μB per cell

abc: 3.3410 3.3410 19.6969
angles: 90.00 90.00 90.00
With the nearest neighbours (Å) after each atom.
Space group P4/mmm (No. 123)
Asymmetric unit:
Sc  0.0000  0.0000  0.0000 (multiplicity 1)  8 Tl 3.15, 4 Sc 3.34
Sc  0.0000  0.0000  0.2123 (multiplicity 2)  8 Tl 3.14-3.16, 4 Sc 3.34
Sc  0.0000  0.0000  0.4241 (multiplicity 2)  4 Ni 2.80, 1 Sc 2.99
Tl  0.5000  0.5000  0.1060 (multiplicity 2)  8 Sc 3.15-3.16, 4 Tl 3.34
Tl  0.5000  0.5000  0.3171 (multiplicity 2)  8 Sc 3.14-3.17, 4 Tl 3.34
Ni  0.5000  0.5000  0.5000 (multiplicity 1)  8 Sc 2.80